[1]
A geometry-optimized Pr2Al5In structure, computed with PBE-GGA.

a = 4.665 Å, b = 6.688 Å, c = 11.451 Å
α = 90.00°, β = 90.00°, γ = 90.00°
Space group Amm2 (No. 38)
Symmetry-distinct sites (fractional):
Pr1 0.000 0.000 0.000 x2
Pr2 0.500 0.000 0.323 x2
Al1 0.000 0.209 0.737 x4
Al2 0.500 0.000 0.805 x2
Al3 0.500 0.212 0.597 x4
In1 0.000 0.000 0.512 x2

- DFT total energy (eV/atom) = -4.290

[2]
A geometry-optimized HoAlRe structure, computed with PBE-GGA.

a = 6.320 Å, b = 6.320 Å, c = 6.320 Å
α = 90.00°, β = 90.00°, γ = 90.00°
Space group F-43m (No. 216)
Symmetry-distinct sites (fractional):
Ho1 0.000 0.000 0.000 x4
Al1 0.250 0.250 0.250 x4
Re1 0.000 0.000 0.500 x4

- DFT total energy (eV/atom) = -6.482
- ΔE to the lowest computed polymorph (eV per formula unit) = 0.00

Number 1: total magnetization 0.01 μB per formula unit. Number 2: total magnetization 0.16 μB per formula unit.